GGA-PBE CoNi2Rh4, relaxed; N(E_F) = 1.7194 states/eV per atom; total DFT energy (no corrections) = -47.42 eV/cell; calculated volume = 91.2 Å³ per cell; formation energy from the elements = 0.093 eV per atom; excess energy over the best structure of this formula in the dataset = 0.000 eV/atom
1.0
-2.4699 2.6943 -1.1886
-0.4007 -1.3580 -2.2454
-5.4771 -5.7871 4.4774
Rh Co Ni
4 1 2
Direct
0.9279 0.5000 0.8559 Rh
0.3501 0.0000 0.7001 Rh
0.0721 0.5000 0.1441 Rh
0.6499 0.0000 0.2999 Rh
0.5000 0.0000 0.0000 Co
0.2132 0.5000 0.4263 Ni
0.7868 0.5000 0.5737 Ni